1.
An optimized crystal structure of Co2RePb, computed with PBEsol.

Unit cell a=2.7853 b=4.2557 c=4.7445 alpha=90.00 beta=90.20 gamma=90.00
Space group Pm (No. 6)
Inequivalent atoms, fractional coordinates:
Co1 0.0000 0.0000 0.0000 x1
Co2 0.0027 0.5000 0.3119 x1
Re1 0.4994 0.5000 0.8749 x1
Pb1 0.5031 0.0000 0.4844 x1

Calculated volume, Å³/atom: 14.06
Total magnetization, μB per cell: 0.00
Energy, eV per atom: -7.64
Energy of formation, eV/atom: 0.5601

2.
An optimized crystal structure of Co2RePb, computed with PBEsol.

Unit cell a=4.0162 b=4.0162 c=6.9611 alpha=90.00 beta=90.00 gamma=90.00
Space group I4/mmm (No. 139)
Inequivalent atoms, fractional coordinates:
Co1 0.0000 0.5000 0.2500 x4
Re1 0.0000 0.0000 0.0000 x2
Pb1 0.0000 0.0000 0.5000 x2

Calculated volume, Å³/atom: 14.04
Total magnetization, μB per cell: 4.92
Energy, eV per atom: -7.55
Energy of formation, eV/atom: 0.6526

- Which formula does entry 2 have?
  Co2RePb